#P
Below is a relaxed Li2V3FeO8 crystal, with properties calculated at the PBE+U level.

a = 5.9888 Å, b = 5.9888 Å, c = 5.9888 Å
α = 59.06°, β = 59.06°, γ = 59.06°
Positions (direct):
Li  0.1243  0.1243  0.1243
Li  0.8757  0.8757  0.8757
V  0.0000  0.5000  0.5000
V  0.5000  0.0000  0.5000
V  0.5000  0.5000  0.0000
Fe  0.5000  0.5000  0.5000
O  0.2578  0.2578  0.7158
O  0.2578  0.7158  0.2578
O  0.2610  0.2610  0.2610
O  0.2842  0.7422  0.7422
O  0.7158  0.2578  0.2578
O  0.7390  0.7390  0.7390
O  0.7422  0.2842  0.7422
O  0.7422  0.7422  0.2842

V in Å³ per atom: 10.6
Space group: R-3m, No. 166
Total magnetic moment in μB/f.u.: 9.0

#Q
Below is a relaxed Li2V3FeO8 crystal, with properties calculated at the PBE+U level.

a = 5.9435 Å, b = 5.9435 Å, c = 9.6111 Å
α = 90.62°, β = 90.62°, γ = 120.51°
Positions (direct):
Li  0.0054  0.9946  0.5000
Li  0.3381  0.6708  0.6005
Li  0.6708  0.3381  0.1005
Li  0.9946  0.0054  0.0000
V  0.1731  0.8308  0.2790
V  0.1779  0.3455  0.2850
V  0.3455  0.1779  0.7850
V  0.6655  0.8295  0.2791
V  0.8295  0.6655  0.7791
V  0.8308  0.1731  0.7790
Fe  0.3358  0.6788  0.0024
Fe  0.6788  0.3358  0.5024
O  0.0025  0.9976  0.1851
O  0.0436  0.5338  0.1593
O  0.1534  0.8364  0.8944
O  0.1543  0.3308  0.8948
O  0.3308  0.1543  0.3948
O  0.3485  0.6862  0.3929
O  0.4863  0.9673  0.1580
O  0.4950  0.5353  0.1570
O  0.5338  0.0436  0.6593
O  0.5353  0.4950  0.6570
O  0.6707  0.8409  0.8905
O  0.6862  0.3485  0.8929
O  0.8364  0.1534  0.3944
O  0.8409  0.6707  0.3905
O  0.9673  0.4863  0.6580
O  0.9976  0.0025  0.6851

V in Å³ per atom: 10.4
Space group: Cc, No. 9
Total magnetic moment in μB/f.u.: 9.0

#R
Below is a relaxed Li2V3FeO8 crystal, with properties calculated at the PBE+U level.

a = 6.4131 Å, b = 6.4131 Å, c = 6.4991 Å
α = 104.59°, β = 104.59°, γ = 36.66°
Positions (direct):
Li  0.0000  0.0000  0.0000
Li  0.1266  0.1266  0.7085
V  0.4556  0.4556  0.6318
V  0.6692  0.6692  0.0452
V  0.7745  0.7745  0.6313
Fe  0.3492  0.3492  0.0591
O  0.1711  0.1711  0.0276
O  0.2988  0.2988  0.6808
O  0.4310  0.4310  0.3640
O  0.5131  0.5131  0.9879
O  0.6254  0.6254  0.7072
O  0.7206  0.7206  0.3558
O  0.8180  0.8180  0.9790
O  0.9428  0.9428  0.6745

V in Å³ per atom: 11.0
Space group: Cm, No. 8
Total magnetic moment in μB/f.u.: 7.0

Calculated relative energies: #P 18; #Q 0; #R 46, given in meV per atom

#P
Below is a relaxed Li4V3Fe2O10 crystal, with properties calculated at the PBE+U level.

a = 5.1639 Å, b = 5.2060 Å, c = 7.9480 Å
α = 70.90°, β = 71.61°, γ = 79.03°
Positions (direct):
Li  0.0000  0.0000  0.0000
Li  0.1040  0.4708  0.2826
Li  0.3040  0.4705  0.9190
Li  0.7171  0.4519  0.0859
V  0.1801  0.9648  0.6264
V  0.4909  0.4636  0.5178
V  0.7993  0.9577  0.4068
Fe  0.3925  0.9654  0.2014
Fe  0.5933  0.9592  0.8292
O  0.0342  0.1877  0.1795
O  0.1708  0.7420  0.4598
O  0.2755  0.2053  0.7436
O  0.3680  0.7242  0.0564
O  0.4222  0.1967  0.3844
O  0.5255  0.7405  0.6544
O  0.6207  0.1860  0.9780
O  0.7253  0.7059  0.2885
O  0.8291  0.1838  0.5631
O  0.9689  0.7628  0.8390

V in Å³ per atom: 10.0
Space group: P1, No. 1
Total magnetic moment in μB/f.u.: 15.0

#Q
Below is a relaxed Li4V3Fe2O10 crystal, with properties calculated at the PBE+U level.

a = 5.3766 Å, b = 5.9143 Å, c = 8.3712 Å
α = 98.25°, β = 107.04°, γ = 102.85°
Positions (direct):
Li  0.0000  0.0000  0.0000
Li  0.1266  0.2574  0.3084
Li  0.4264  0.9370  0.8424
Li  0.7784  0.4317  0.0932
V  0.1564  0.8346  0.4692
V  0.2532  0.4829  0.9366
V  0.7620  0.0587  0.5769
Fe  0.5472  0.0319  0.2033
Fe  0.7616  0.6320  0.7267
O  0.0226  0.5600  0.3339
O  0.0457  0.8765  0.6769
O  0.2043  0.7527  0.0178
O  0.2852  0.3060  0.0822
O  0.4031  0.0768  0.4035
O  0.5100  0.8196  0.6310
O  0.5519  0.5351  0.8877
O  0.7271  0.1012  0.0444
O  0.8905  0.0104  0.3903
O  0.9513  0.3602  0.7478

V in Å³ per atom: 12.7
Space group: P1, No. 1
Total magnetic moment in μB/f.u.: 11.0

Calculated relative energies: #P 0; #Q 78, given in meV per atom

#P
Below is a relaxed Li5V3Fe2O10 crystal, with properties calculated at the PBE+U level.

a = 5.1935 Å, b = 6.0352 Å, c = 6.6828 Å
α = 103.05°, β = 97.00°, γ = 108.06°
Positions (direct):
Li  0.0000  0.0000  0.0000
Li  0.2056  0.9004  0.3922
Li  0.4070  0.2938  0.7978
Li  0.5930  0.7062  0.2022
Li  0.7944  0.0996  0.6078
V  0.0000  0.5000  0.0000
V  0.1847  0.3778  0.3932
V  0.8153  0.6222  0.6068
Fe  0.4081  0.8081  0.8045
Fe  0.5919  0.1919  0.1955
O  0.0705  0.9229  0.6834
O  0.0742  0.4497  0.6855
O  0.2786  0.3610  0.1162
O  0.2944  0.8316  0.0887
O  0.4966  0.7204  0.5082
O  0.5034  0.2796  0.4918
O  0.7056  0.1684  0.9113
O  0.7214  0.6390  0.8838
O  0.9258  0.5503  0.3145
O  0.9295  0.0771  0.3166

V in Å³ per atom: 9.5
Space group: P-1, No. 2
Total magnetic moment in μB/f.u.: 12.0

#Q
Below is a relaxed Li5V3Fe2O10 crystal, with properties calculated at the PBE+U level.

a = 5.0914 Å, b = 5.3137 Å, c = 7.8926 Å
α = 106.61°, β = 102.38°, γ = 102.00°
Positions (direct):
Li  0.0000  0.0000  0.0000
Li  0.1066  0.2298  0.7290
Li  0.3010  0.5598  0.0843
Li  0.6990  0.4402  0.9157
Li  0.8934  0.7702  0.2710
V  0.2043  0.3984  0.3966
V  0.5000  0.0000  0.5000
V  0.7957  0.6016  0.6034
Fe  0.4059  0.8337  0.8276
Fe  0.5941  0.1663  0.1724
O  0.0320  0.6053  0.8271
O  0.1630  0.7662  0.5420
O  0.2644  0.0352  0.2732
O  0.3555  0.1993  0.9493
O  0.4417  0.3853  0.6351
O  0.5583  0.6147  0.3649
O  0.6445  0.8007  0.0507
O  0.7356  0.9648  0.7268
O  0.8370  0.2338  0.4580
O  0.9680  0.3947  0.1729

V in Å³ per atom: 9.6
Space group: P-1, No. 2
Total magnetic moment in μB/f.u.: 14.0

Calculated relative energies: #P 0; #Q 31, given in meV per atom